Entry 1:
Compound: ZrScCo3
Source: the Alexandria database
Functional: PBE
Structure: relaxed

Its energy relative to the elements is 0.7328 eV per atom. The calculation puts the total DFT energy (no corrections) at -32.53 eV for the cell shown. The calculation puts the polymorph energy (0 for the lowest one) at 0 meV per atom. As for the crystal system: cubic.

The structure belongs to space group Pm-3m (No. 221); the cell edges are 4.334, 4.334 and 4.334 Å and the angles 90.00°, 90.00° and 90.00°. Symmetry generates all atoms from Zr at (0.000, 0.000, 0.000), Sc at (0.500, 0.500, 0.500) and Co at (0.000, 0.500, 0.500).


Entry 2:
Compound: Cu2Ag2Au3
Source: the Alexandria database
Functional: PBE
Structure: relaxed

Its energy relative to the elements is 0.0434 eV per atom. The calculation puts the total DFT energy (no corrections) at -46.85 eV for the cell shown. The calculation puts the polymorph energy (0 for the lowest one) at 55 meV per atom. As for the crystal system: orthorhombic.

The structure belongs to space group Immm (No. 71); the cell edges are 2.827, 4.496 and 18.274 Å and the angles 90.00°, 90.00° and 90.00°. Symmetry generates all atoms from Cu at (0.000, 0.000, 0.066), Ag at (0.000, 0.500, 0.141), Au at (0.000, 0.000, 0.500) and Au at (0.000, 0.500, 0.298).


Entry 3:
Compound: Er2NiRu
Source: the Alexandria database
Functional: PBE
Structure: relaxed

Its energy relative to the elements is -0.4675 eV per atom. The calculation puts the total DFT energy (no corrections) at -26.05 eV for the cell shown. As for the crystal system: tetragonal.

The structure belongs to space group P4/mmm (No. 123); the cell edges are 3.374, 3.374 and 6.675 Å and the angles 90.00°, 90.00° and 90.00°. Symmetry generates all atoms from Er at (0.000, 0.000, 0.248), Ni at (0.500, 0.500, 0.500) and Ru at (0.500, 0.500, 0.000).


Entry 4:
Compound: SrPmEr4Se8
Source: the Alexandria database
Functional: PBE
Structure: relaxed

Its formation energy without anion corrections is -1780 meV per atom. The calculation puts the total DFT energy (no corrections) at -232.43 eV for the cell shown. As for the crystal system: trigonal.

The structure belongs to space group R3m (No. 160, hexagonal axes); the cell edges are 8.4785, 8.4785 and 21.0545 Å and the angles 90.00°, 90.00° and 120.00°. Symmetry generates all atoms from Sr at (0.0000, 0.0000, 0.0000), Pm at (0.0000, 0.0000, 0.6289), Er at (0.0000, 0.0000, 0.2525), Er at (0.1690, 0.3380, 0.4596), Se at (0.0000, 0.0000, 0.3848), Se at (0.0000, 0.0000, 0.8623), Se at (0.0314, 0.5157, 0.3848) and Se at (0.1737, 0.3475, 0.2052).


Entry 5:
Compound: AlInIr
Source: the Alexandria database
Functional: PBE
Structure: relaxed

Its energy relative to the elements is -0.1482 eV per atom. The calculation puts the total DFT energy (no corrections) at -15.79 eV for the cell shown. As for the crystal system: trigonal.

The structure belongs to space group P3m1 (No. 156); the cell edges are 3.0407, 3.0407 and 6.5875 Å and the angles 90.00°, 90.00° and 120.00°. Symmetry generates all atoms from Al at (0.0000, 0.0000, 0.0000), In at (0.3333, 0.6667, 0.3807) and Ir at (0.6667, 0.3333, 0.7243).


Entry 6:
Compound: Sm6SiRh2I3
Source: the Alexandria database
Functional: PBE
Structure: relaxed

Its formation energy without anion corrections is -880 meV per atom. The calculation puts the total DFT energy (no corrections) at -127.31 eV for the cell shown. As for the crystal system: monoclinic.

The structure belongs to space group C2/m (No. 12); the cell edges are 7.295, 12.641 and 8.278 Å and the angles 90.00°, 107.10° and 90.00°. Symmetry generates all atoms from Sm at (0.217, 0.000, 0.187), Sm at (0.234, 0.328, 0.188), Si at (0.000, 0.500, 0.000), Rh at (0.000, 0.167, 0.000), I at (0.000, 0.000, 0.500) and I at (0.000, 0.338, 0.500).


Entry 7:
Compound: DyHoPt6
Source: the Alexandria database
Functional: PBE
Structure: relaxed

Its energy relative to the elements is -1.0466 eV per atom. The calculation puts the total DFT energy (no corrections) at -53.80 eV for the cell shown. As for the crystal system: tetragonal.

The structure belongs to space group P4/mmm (No. 123); the cell edges are 4.114, 4.114 and 8.227 Å and the angles 90.00°, 90.00° and 90.00°. Symmetry generates all atoms from Dy at (0.000, 0.000, 0.000), Ho at (0.000, 0.000, 0.500), Pt at (0.000, 0.500, 0.251), Pt at (0.500, 0.500, 0.000) and Pt at (0.500, 0.500, 0.500).


Entry 8:
Compound: ReAuCl3
Source: the Alexandria database
Functional: PBE
Structure: relaxed

Its formation energy without anion corrections is 470 meV per atom. The calculation puts the total DFT energy (no corrections) at -18.92 eV for the cell shown. The calculation puts the polymorph energy (0 for the lowest one) at 0 meV per atom. As for the crystal system: cubic.

The structure belongs to space group Pm-3m (No. 221); the cell edges are 4.813, 4.813 and 4.813 Å and the angles 90.00°, 90.00° and 90.00°. Symmetry generates all atoms from Re at (0.000, 0.000, 0.000), Au at (0.500, 0.500, 0.500) and Cl at (0.000, 0.000, 0.500).


Entry 9:
Compound: Ba2NiH4
Source: the Alexandria database
Functional: PBE
Structure: relaxed

The calculation puts the total DFT energy (no corrections) at -51.25 eV for the cell shown. The calculation puts the polymorph energy (0 for the lowest one) at 0 meV per atom. As for the crystal system: tetragonal.

The structure belongs to space group I4/mmm (No. 139); the cell edges are 5.626, 5.626 and 7.740 Å and the angles 90.00°, 90.00° and 90.00°. Symmetry generates all atoms from Ba at (0.000, 0.500, 0.250), Ni at (0.000, 0.000, 0.000) and H at (0.203, 0.203, 0.000).


Entry 10:
Compound: CsAlAg3
Source: the Alexandria database
Functional: PBE
Structure: relaxed

Its energy relative to the elements is 1.4138 eV per atom. The calculation puts the total DFT energy (no corrections) at -6.08 eV for the cell shown. The calculation puts the polymorph energy (0 for the lowest one) at 1259 meV per atom. As for the crystal system: cubic.

The structure belongs to space group Pm-3m (No. 221); the cell edges are 6.293, 6.293 and 6.293 Å and the angles 90.00°, 90.00° and 90.00°. Symmetry generates all atoms from Cs at (0.000, 0.000, 0.000), Al at (0.500, 0.500, 0.500) and Ag at (0.000, 0.000, 0.500).


Entry 11:
Compound: AcN4
Source: the Alexandria database
Functional: PBE
Structure: relaxed

Its formation energy without anion corrections is 2568 meV per atom. The calculation puts the total DFT energy (no corrections) at -24.57 eV for the cell shown. The calculation puts the polymorph energy (0 for the lowest one) at 2906 meV per atom. As for the crystal system: cubic.

The structure belongs to space group Pm-3m (No. 221); the cell edges are 5.085, 5.085 and 5.085 Å and the angles 90.00°, 90.00° and 90.00°. Symmetry generates all atoms from Ac at (0.000, 0.000, 0.000), N at (0.000, 0.000, 0.500) and N at (0.500, 0.500, 0.500).


Entry 12:
Compound: La2PrTiN4
Source: the Alexandria database
Functional: PBE
Structure: relaxed

Its formation energy without anion corrections is -1256 meV per atom. The calculation puts the total DFT energy (no corrections) at -263.51 eV for the cell shown. As for the crystal system: orthorhombic.

The structure belongs to space group Cmcm (No. 63); the cell edges are 3.537, 12.124 and 12.708 Å and the angles 90.00°, 90.00° and 90.00°. Symmetry generates all atoms from La at (0.000, 0.133, 0.039), Pr at (0.000, 0.397, 0.250), Ti at (0.000, 0.332, 0.750), N at (0.000, 0.078, 0.250), N at (0.000, 0.229, 0.638) and N at (0.000, 0.500, 0.000).


Summary of density in g/cm3
6.39; 13.35; 10.80; 5.83; 10.52; 6.90; 17.86; 7.29; 4.57; 3.22; 3.57; 6.37
(order as listed above)